! Ce2TmAs3, relaxed, DFT PBE; values from VASP
&SYSTEM
  ibrav = 0, nat = 6, ntyp = 3
/
ATOMIC_SPECIES
Ce 140.12 Ce.upf
Tm 168.93 Tm.upf
As 74.92 As.upf
ATOMIC_POSITIONS crystal
Ce 0.1660 0.1660 0.0000
Ce 0.8340 0.8340 0.0000
Tm 0.5000 0.5000 0.0000
As 0.0000 0.0000 0.0000
As 0.3359 0.3359 0.0000
As 0.6641 0.6641 0.0000
CELL_PARAMETERS angstrom
-2.0861 2.0861 8.8224
2.0861 -2.0861 8.8224
2.0861 2.0861 -8.8224
! DFT formation energy: -1.4354 eV per atom
! Total magnetization: 1.4 μB/f.u.
! Symmetry: I4/mmm, No. 139
! VASP energy: -6.48 eV per atom
! Calculated volume: 25.6 A^3/atom